Entry 1:
A relaxed structure of NaAgSbCl6, computed with PBE.

Results
Raw formation energy: -0.880 eV per atom
Total magnetization: 0.0 μB per cell
Electronic total energy: -27.292 eV for the cell shown
DOS(E_F): 0.6127 states/eV per atom

```
data_NaAgSbCl6
_cell_length_a 6.8611
_cell_length_b 6.8611
_cell_length_c 6.2180
_cell_angle_alpha 90.00
_cell_angle_beta 90.00
_cell_angle_gamma 120.00
_space_group_name_H-M_alt 'P 3 1 2'
_space_group_IT_number 149
_space_group_name_Hall 'P 3 2'
loop_
_atom_site_label
_atom_site_fract_x
_atom_site_fract_y
_atom_site_fract_z
Na1 0.0000 0.0000 0.0000
Ag1 0.3333 0.6667 0.5000
Sb1 0.6667 0.3333 0.5000
Cl1 0.3668 0.0247 0.7356
```

***

Entry 2:
A relaxed structure of Na2AgSbCl6, computed with PBE.

Results
Raw formation energy: -1.154 eV per atom
Total magnetization: 0.0 μB per cell
Electronic total energy: -96.701 eV for the cell shown
DOS(E_F): 0.0000 states/eV per atom
E above lowest polymorph: 0.0000 eV/atom

```
data_Na2AgSbCl6
_cell_length_a 7.0203
_cell_length_b 7.0203
_cell_length_c 18.8091
_cell_angle_alpha 90.00
_cell_angle_beta 90.00
_cell_angle_gamma 120.00
_space_group_name_H-M_alt 'R 3'
_space_group_IT_number 146
_space_group_name_Hall 'R 3'
loop_
_atom_site_label
_atom_site_fract_x
_atom_site_fract_y
_atom_site_fract_z
Na1 0.0000 0.0000 0.0000
Na2 0.0000 0.0000 0.4914
Ag1 0.0000 0.0000 0.2920
Sb1 0.0000 0.0000 0.8006
Cl1 0.0099 0.3730 0.0583
Cl2 0.0135 0.7081 0.8900
```

***

Entry 3:
A relaxed structure of Na2AgSbCl6, computed with PBE.

Results
Raw formation energy: -1.013 eV per atom
Total magnetization: 0.0 μB per cell
Electronic total energy: -123.279 eV for the cell shown
DOS(E_F): 0.0000 states/eV per atom
E above lowest polymorph: 0.1414 eV/atom

```
data_Na2AgSbCl6
_cell_length_a 10.627
_cell_length_b 10.627
_cell_length_c 10.627
_cell_angle_alpha 90.00
_cell_angle_beta 90.00
_cell_angle_gamma 90.00
_space_group_name_H-M_alt 'F m -3 m'
_space_group_IT_number 225
_space_group_name_Hall '-F 4 2 3'
loop_
_atom_site_label
_atom_site_fract_x
_atom_site_fract_y
_atom_site_fract_z
Na1 0.250 0.250 0.250
Ag1 0.000 0.000 0.000
Sb1 0.000 0.000 0.500
Cl1 0.000 0.000 0.251
```

***

Entry 4:
A relaxed structure of NaScAg2Cl6, computed with PBE.

Results
Raw formation energy: -1.373 eV per atom
Total magnetization: 0.0 μB per cell
Electronic total energy: -38.164 eV for the cell shown
DOS(E_F): 0.0000 states/eV per atom

```
data_NaScAg2Cl6
_cell_length_a 6.829
_cell_length_b 6.837
_cell_length_c 7.282
_cell_angle_alpha 90.03
_cell_angle_beta 117.92
_cell_angle_gamma 119.95
_space_group_name_H-M_alt 'P 1'
_space_group_IT_number 1
_space_group_name_Hall 'P 1'
loop_
_atom_site_label
_atom_site_fract_x
_atom_site_fract_y
_atom_site_fract_z
Na1 0.000 0.000 0.000
Sc1 0.991 0.496 0.486
Ag1 0.585 0.292 0.877
Ag2 0.595 0.798 0.392
Cl1 0.111 0.403 0.234
Cl2 0.119 0.253 0.711
Cl3 0.459 0.866 0.710
Cl4 0.527 0.125 0.235
Cl5 0.832 0.709 0.235
Cl6 0.846 0.593 0.712
```

***

Entry 5:
A relaxed structure of NaScAgCl5, computed with PBE.

Results
Raw formation energy: -1.597 eV per atom
Total magnetization: 0.0 μB per cell
Electronic total energy: -130.058 eV for the cell shown
DOS(E_F): 0.0000 states/eV per atom

```
data_NaScAgCl5
_cell_length_a 7.542
_cell_length_b 12.964
_cell_length_c 9.419
_cell_angle_alpha 90.00
_cell_angle_beta 108.75
_cell_angle_gamma 90.00
_space_group_name_H-M_alt 'C 1 2/c 1'
_space_group_IT_number 15
_space_group_name_Hall '-C 2yc'
loop_
_atom_site_label
_atom_site_fract_x
_atom_site_fract_y
_atom_site_fract_z
Na1 0.000 0.071 0.250
Sc1 0.000 0.500 0.000
Ag1 0.000 0.215 0.750
Cl1 0.000 0.428 0.250
Cl2 0.163 0.339 0.616
Cl3 0.184 0.082 0.959
```

***

Entry 6:
A relaxed structure of NaAg2SeCl6, computed with PBE.

Results
Raw formation energy: -0.602 eV per atom
Total magnetization: 0.9 μB per cell
Electronic total energy: -27.608 eV for the cell shown
DOS(E_F): 0.2450 states/eV per atom

```
data_NaAg2SeCl6
_cell_length_a 6.486
_cell_length_b 7.457
_cell_length_c 7.482
_cell_angle_alpha 82.87
_cell_angle_beta 64.34
_cell_angle_gamma 65.64
_space_group_name_H-M_alt 'P 1'
_space_group_IT_number 1
_space_group_name_Hall 'P 1'
loop_
_atom_site_label
_atom_site_fract_x
_atom_site_fract_y
_atom_site_fract_z
Na1 0.000 0.000 0.000
Ag1 0.629 0.141 0.623
Ag2 0.871 0.561 0.888
Se1 0.159 0.506 0.306
Cl1 0.214 0.267 0.938
Cl2 0.390 0.688 0.059
Cl3 0.571 0.262 0.310
Cl4 0.799 0.731 0.288
Cl5 0.935 0.353 0.565
Cl6 0.951 0.861 0.708
```

***

> Which of these has the highest electronic total energy?

NaAgSbCl6

***

> electronic total energy of number 3 (Na2AgSbCl6)?

-123.279 eV for the cell shown